## SeBr2NCl (PBE-GGA)

Data for an optimized crystal structure of SeBr2NCl.

Calculated values
distance to the lowest polymorph of the same formula = 141 meV per atom
total magnetic moment = 0.00 Bohr magnetons per cell
E_form (uncorrected) = 5.692 eV/f.u.
DFT total energy = -2.2621 eV per atom

Cell: 4.5718 4.5718 4.8163 Å, 90.00 90.00 90.00°
Closest atoms and distances in Å follow each position.
Fractional coordinates of all 5 atoms:
Se 0.0000 0.0000 0.0000  2 N 2.41
Br 0.0000 0.5000 0.5000  2 N 2.29
Br 0.5000 0.0000 0.5000  2 N 2.29
N 0.0000 0.0000 0.5000  4 Br 2.29, 2 Se 2.41
Cl 0.5000 0.5000 0.0000  4 Se 3.23, 8 Br 3.32